No. 1
First-principles (PBE) data for a relaxed BeTlTe crystal, as listed in Alexandria via LeMat-Bulk.

Cell: 3.893 6.167 7.033 Å, 93.12 90.06 95.52°
Element x y z (fractional)
Be  0.814  0.255  0.219
Be  0.315  0.494  0.396
Tl  0.966  0.896  0.857
Tl  0.564  0.874  0.316
Te  0.331  0.388  0.050
Te  0.799  0.365  0.562

Computed properties:
E: -3.09 eV/atom
DOS at the Fermi energy: 0.190 states/eV/atom
excess energy over the best structure of this formula in the dataset: 40 meV per atom

No. 2
First-principles (PBE) data for a relaxed BeTlTe2 crystal, as listed in Alexandria via LeMat-Bulk.

Cell: 3.757 4.974 5.782 Å, 90.00 90.00 90.00°
Element x y z (fractional)
Be  0.000  0.500  0.500
Tl  0.500  0.000  0.500
Te  0.000  0.000  0.000
Te  0.500  0.500  0.000

Computed properties:
E: -2.53 eV/atom
DOS at the Fermi energy: 0.329 states/eV/atom
excess energy over the best structure of this formula in the dataset: 727 meV per atom

No. 3
First-principles (PBE) data for a relaxed Be2TlTe crystal, as listed in Alexandria via LeMat-Bulk.

Cell: 4.966 4.966 4.966 Å, 60.00 60.00 60.00°
Element x y z (fractional)
Be  0.000  0.000  0.000
Be  0.250  0.250  0.250
Tl  0.750  0.750  0.750
Te  0.500  0.500  0.500

Computed properties:
E: -2.22 eV/atom
DOS at the Fermi energy: 0.432 states/eV/atom
excess energy over the best structure of this formula in the dataset: 671 meV per atom

No. 4
First-principles (PBE) data for a relaxed BeTlTe2 crystal, as listed in Alexandria via LeMat-Bulk.

Cell: 5.192 5.192 8.502 Å, 90.00 90.00 137.42°
Element x y z (fractional)
Be  0.500  0.500  0.750
Tl  0.500  0.500  0.250
Te  0.000  0.000  0.942
Te  0.000  0.000  0.558

Computed properties:
E: -3.00 eV/atom
DOS at the Fermi energy: 0.357 states/eV/atom
excess energy over the best structure of this formula in the dataset: 263 meV per atom

No. 5
First-principles (PBE) data for a relaxed Be2TlTe crystal, as listed in Alexandria via LeMat-Bulk.

Cell: 4.808 4.808 4.808 Å, 60.00 60.00 60.00°
Element x y z (fractional)
Be  0.250  0.250  0.250
Be  0.750  0.750  0.750
Tl  0.500  0.500  0.500
Te  0.000  0.000  0.000

Computed properties:
E: -2.40 eV/atom
DOS at the Fermi energy: 0.516 states/eV/atom
excess energy over the best structure of this formula in the dataset: 487 meV per atom

No. 6
First-principles (PBE) data for a relaxed BeTlTe crystal, as listed in Alexandria via LeMat-Bulk.

Cell: 6.719 6.719 6.719 Å, 148.74 148.74 44.79°
Element x y z (fractional)
Be  0.917  0.917  0.000
Tl  0.673  0.673  0.000
Te  0.410  0.410  0.000

Computed properties:
E: -2.83 eV/atom
DOS at the Fermi energy: 0.458 states/eV/atom
excess energy over the best structure of this formula in the dataset: 296 meV per atom

No. 7
First-principles (PBE) data for a relaxed BeTl4Te crystal, as listed in Alexandria via LeMat-Bulk.

Cell: 6.483 6.483 6.483 Å, 60.00 60.00 60.00°
Element x y z (fractional)
Be  0.750  0.750  0.750
Tl  0.375  0.876  0.375
Tl  0.876  0.375  0.375
Tl  0.375  0.375  0.876
Tl  0.375  0.375  0.375
Te  0.000  0.000  0.000

Computed properties:
E: -2.20 eV/atom
DOS at the Fermi energy: 0.687 states/eV/atom

No. 8
First-principles (PBE) data for a relaxed BeTlTe2 crystal, as listed in Alexandria via LeMat-Bulk.

Cell: 6.021 6.021 6.656 Å, 56.96 56.96 35.71°
Element x y z (fractional)
Be  0.250  0.250  0.250
Tl  0.750  0.750  0.750
Te  0.927  0.927  0.075
Te  0.573  0.573  0.425

Computed properties:
E: -3.07 eV/atom
DOS at the Fermi energy: 0.488 states/eV/atom
excess energy over the best structure of this formula in the dataset: 195 meV per atom

No. 9
First-principles (PBE) data for a relaxed BeTlTe2 crystal, as listed in Alexandria via LeMat-Bulk.

Cell: 6.848 6.848 7.038 Å, 59.21 59.21 31.27°
Element x y z (fractional)
Be  0.332  0.332  0.043
Tl  0.528  0.528  0.350
Te  0.821  0.821  0.291
Te  0.820  0.820  0.817

Computed properties:
E: -3.08 eV/atom
DOS at the Fermi energy: 0.308 states/eV/atom
excess energy over the best structure of this formula in the dataset: 183 meV per atom

No. 10
First-principles (PBE) data for a relaxed BeTlTe2 crystal, as listed in Alexandria via LeMat-Bulk.

Cell: 3.732 5.150 6.943 Å, 89.38 90.00 90.00°
Element x y z (fractional)
Be  0.500  0.750  0.750
Tl  0.500  0.250  0.250
Te  0.000  0.753  0.989
Te  0.000  0.747  0.511

Computed properties:
E: -3.11 eV/atom
DOS at the Fermi energy: 0.294 states/eV/atom
excess energy over the best structure of this formula in the dataset: 154 meV per atom

No. 11
First-principles (PBE) data for a relaxed Be2TlTe crystal, as listed in Alexandria via LeMat-Bulk.

Cell: 7.255 7.255 7.255 Å, 151.29 150.25 41.82°
Element x y z (fractional)
Be  0.071  0.071  0.000
Be  0.648  0.148  0.500
Tl  0.265  0.765  0.500
Te  0.516  0.516  0.000

Computed properties:
E: -2.83 eV/atom
DOS at the Fermi energy: 0.218 states/eV/atom
excess energy over the best structure of this formula in the dataset: 63 meV per atom

No. 12
First-principles (PBE) data for a relaxed BeTl3Te3 crystal, as listed in Alexandria via LeMat-Bulk.

Cell: 7.994 9.330 12.664 Å, 99.96 90.00 90.00°
Element x y z (fractional)
Be  0.414  0.819  0.956
Be  0.086  0.819  0.456
Be  0.914  0.181  0.544
Be  0.586  0.181  0.044
Tl  0.822  0.910  0.869
Tl  0.678  0.910  0.369
Tl  0.227  0.714  0.721
Tl  0.750  0.595  0.584
Tl  0.273  0.714  0.221
Tl  0.750  0.595  0.084
Tl  0.250  0.405  0.916
Tl  0.727  0.286  0.779
Tl  0.250  0.405  0.416
Tl  0.773  0.286  0.279
Tl  0.322  0.090  0.631
Tl  0.178  0.090  0.131
Te  0.927  0.941  0.615
Te  0.573  0.941  0.115
Te  0.125  0.750  0.986
Te  0.375  0.750  0.486
Te  0.566  0.621  0.843
Te  0.934  0.621  0.343
Te  0.066  0.379  0.657
Te  0.434  0.379  0.157
Te  0.625  0.250  0.514
Te  0.875  0.250  0.014
Te  0.427  0.059  0.885
Te  0.073  0.059  0.385

Computed properties:
E: -3.14 eV/atom
DOS at the Fermi energy: 0.348 states/eV/atom

No. 13
First-principles (PBE) data for a relaxed BeTlTe crystal, as listed in Alexandria via LeMat-Bulk.

Cell: 4.710 4.753 8.286 Å, 75.88 77.09 89.92°
Element x y z (fractional)
Be  0.276  0.856  0.301
Be  0.276  0.326  0.302
Tl  0.728  0.273  0.884
Tl  0.770  0.085  0.318
Te  0.215  0.697  0.052
Te  0.349  0.489  0.544

Computed properties:
E: -3.13 eV/atom
excess energy over the best structure of this formula in the dataset: 2 meV per atom

No. 14
First-principles (PBE) data for a relaxed BeTlTe crystal, as listed in Alexandria via LeMat-Bulk.

Cell: 7.027 3.899 6.768 Å, 90.00 108.53 90.00°
Element x y z (fractional)
Be  0.838  0.000  0.766
Be  0.838  0.500  0.266
Tl  0.461  0.000  0.977
Tl  0.461  0.500  0.477
Te  0.951  0.000  0.136
Te  0.951  0.500  0.636

Computed properties:
E: -3.12 eV/atom
DOS at the Fermi energy: 0.159 states/eV/atom
excess energy over the best structure of this formula in the dataset: 13 meV per atom

No. 15
First-principles (PBE) data for a relaxed BeTlTe2 crystal, as listed in Alexandria via LeMat-Bulk.

Cell: 4.137 4.674 7.118 Å, 76.88 90.00 90.00°
Element x y z (fractional)
Be  0.500  0.927  0.776
Tl  0.000  0.677  0.364
Te  0.000  0.747  0.922
Te  0.500  0.150  0.439

Computed properties:
E: -3.19 eV/atom
DOS at the Fermi energy: 0.375 states/eV/atom
excess energy over the best structure of this formula in the dataset: 69 meV per atom

No. 16
First-principles (PBE) data for a relaxed Be2TlTe crystal, as listed in Alexandria via LeMat-Bulk.

Cell: 4.666 4.666 3.593 Å, 90.00 90.00 90.04°
Element x y z (fractional)
Be  0.000  0.000  0.000
Be  0.500  0.500  0.000
Tl  0.000  0.500  0.500
Te  0.500  0.000  0.500

Computed properties:
E: -2.44 eV/atom
DOS at the Fermi energy: 0.394 states/eV/atom
excess energy over the best structure of this formula in the dataset: 447 meV per atom

No. 17
First-principles (PBE) data for a relaxed BeTlTe crystal, as listed in Alexandria via LeMat-Bulk.

Cell: 3.931 3.931 5.991 Å, 90.00 90.00 120.00°
Element x y z (fractional)
Be  0.000  0.000  0.071
Tl  0.333  0.667  0.721
Te  0.667  0.333  0.209

Computed properties:
E: -3.11 eV/atom
DOS at the Fermi energy: 0.274 states/eV/atom
excess energy over the best structure of this formula in the dataset: 16 meV per atom

No. 18
First-principles (PBE) data for a relaxed Be3TlTe crystal, as listed in Alexandria via LeMat-Bulk.

Cell: 4.811 4.811 4.811 Å, 90.00 90.00 90.00°
Element x y z (fractional)
Be  0.000  0.500  0.000
Be  0.000  0.000  0.500
Be  0.500  0.000  0.000
Tl  0.500  0.500  0.500
Te  0.000  0.000  0.000

Computed properties:
E: -2.15 eV/atom
DOS at the Fermi energy: 0.936 states/eV/atom
excess energy over the best structure of this formula in the dataset: 118 meV per atom

No. 19
First-principles (PBE) data for a relaxed BeTlTe2 crystal, as listed in Alexandria via LeMat-Bulk.

Cell: 3.991 3.991 7.147 Å, 90.00 90.00 90.00°
Element x y z (fractional)
Be  0.500  0.500  0.931
Tl  0.000  0.000  0.438
Te  0.000  0.000  0.864
Te  0.500  0.500  0.267

Computed properties:
E: -2.99 eV/atom
DOS at the Fermi energy: 0.255 states/eV/atom
excess energy over the best structure of this formula in the dataset: 272 meV per atom

No. 20
First-principles (PBE) data for a relaxed BeTlTe2 crystal, as listed in Alexandria via LeMat-Bulk.

Cell: 5.353 5.353 3.645 Å, 90.00 90.00 90.11°
Element x y z (fractional)
Be  0.000  0.500  0.500
Tl  0.500  0.000  0.500
Te  0.000  0.000  0.000
Te  0.500  0.500  0.000

Computed properties:
E: -2.56 eV/atom
DOS at the Fermi energy: 0.587 states/eV/atom
excess energy over the best structure of this formula in the dataset: 703 meV per atom